(1)
Crystalline Ni2AgCl8 at its relaxed geometry, computed with PBE-GGA.

The calculation puts the spin magnetization at 5.47 μB/f.u. The volume comes out at 683.1 Å³/cell.

The space group is C2/m (No. 12) and the conventional cell measures 11.839, 9.504 and 6.161 Å, with angles of 90.00, 99.80 and 90.00 degrees. Symmetry generates all atoms from Ni at (0.200, 0.000, 0.141), Ag at (0.000, 0.000, 0.500), Cl at (0.115, 0.179, 0.261), Cl at (0.121, 0.500, 0.747) and Cl at (0.176, 0.000, 0.781).

---

(2)
Crystalline Ni2AgCl8 at its relaxed geometry, computed with PBE-GGA.

The calculation puts the spin magnetization at 5.30 μB/f.u. The volume comes out at 1371.4 Å³/cell.

The space group is C2/c (No. 15) and the conventional cell measures 17.069, 8.368 and 12.115 Å, with angles of 90.00, 127.58 and 90.00 degrees. Symmetry generates all atoms from Ni at (0.091, 0.245, 0.039), Ag at (0.000, 0.006, 0.250), Cl at (0.055, 0.206, 0.663), Cl at (0.078, 0.224, 0.208), Cl at (0.144, 0.478, 0.051) and Cl at (0.183, 0.061, 0.049).

---

In terms of stability, (2) leads; the second structure lies 5 meV/atom higher.

---

(1)
Crystalline NiAg2Cl4 at its relaxed geometry, computed with PBE-GGA.

The calculation puts the spin magnetization at 0.15 μB/f.u. The volume comes out at 324.6 Å³/cell.

The space group is I-42m (No. 121) and the conventional cell measures 6.605, 6.605 and 7.441 Å, with angles of 90.00, 90.00 and 90.00 degrees. Symmetry generates all atoms from Ni at (0.000, 0.000, 0.000), Ag at (0.000, 0.500, 0.250) and Cl at (0.230, 0.230, 0.056).

---

(2)
Crystalline NiAg2Cl4 at its relaxed geometry, computed with PBE-GGA.

The calculation puts the spin magnetization at 2.04 μB/f.u. The volume comes out at 516.6 Å³/cell.

The space group is R-3m (No. 166, hexagonal axes) and the conventional cell measures 3.7656, 3.7656 and 42.0700 Å, with angles of 90.00, 90.00 and 120.00 degrees. Symmetry generates all atoms from Ni at (0.0000, 0.0000, 0.0000), Ag at (0.0000, 0.0000, 0.1889), Cl at (0.0000, 0.0000, 0.1128) and Cl at (0.0000, 0.0000, 0.3619).

---

In terms of stability, (1) leads; the second structure lies 27 meV/atom higher.

---

(1)
Crystalline NiAg3Cl at its relaxed geometry, computed with PBE-GGA.

The calculation puts the spin magnetization at 0.21 μB/f.u. The volume comes out at 115.0 Å³/cell.

The space group is Pm-3m (No. 221) and the conventional cell measures 4.862, 4.862 and 4.862 Å, with angles of 90.00, 90.00 and 90.00 degrees. Symmetry generates all atoms from Ni at (0.000, 0.000, 0.000), Ag at (0.000, 0.000, 0.500) and Cl at (0.500, 0.500, 0.500).

---

(2)
Crystalline NiAg3Cl at its relaxed geometry, computed with PBE-GGA.

The calculation puts the spin magnetization at 0.39 μB/f.u. The volume comes out at 122.6 Å³/cell.

The space group is Pm-3m (No. 221) and the conventional cell measures 4.968, 4.968 and 4.968 Å, with angles of 90.00, 90.00 and 90.00 degrees. Symmetry generates all atoms from Ni at (0.000, 0.000, 0.000), Ag at (0.000, 0.500, 0.500) and Cl at (0.500, 0.500, 0.500).

---

In terms of stability, (1) leads; the second structure lies 361 meV/atom higher.

---

(1)
Crystalline NiAgP2Cl at its relaxed geometry, computed with PBE-GGA.

The calculation puts the spin magnetization at 0.00 μB/f.u. The volume comes out at 130.9 Å³/cell.

The space group is P4/mmm (No. 123) and the conventional cell measures 4.109, 4.109 and 7.752 Å, with angles of 90.00, 90.00 and 90.00 degrees. Symmetry generates all atoms from Ni at (0.000, 0.000, 0.000), Ag at (0.500, 0.500, 0.500), P at (0.000, 0.500, 0.000) and Cl at (0.000, 0.000, 0.500).

---

(2)
Crystalline NiAgP2Cl at its relaxed geometry, computed with PBE-GGA.

The calculation puts the spin magnetization at 0.22 μB/f.u. The volume comes out at 115.1 Å³/cell.

The space group is P4/mmm (No. 123) and the conventional cell measures 4.781, 4.781 and 5.035 Å, with angles of 90.00, 90.00 and 90.00 degrees. Symmetry generates all atoms from Ni at (0.000, 0.000, 0.000), Ag at (0.500, 0.500, 0.500), P at (0.000, 0.500, 0.500) and Cl at (0.500, 0.500, 0.000).

---

In terms of stability, (1) leads; the second structure lies 963 meV/atom higher.

---

(1)
Crystalline NiAgSCl2 at its relaxed geometry, computed with PBE-GGA.

The calculation puts the spin magnetization at 1.71 μB/f.u. The volume comes out at 119.5 Å³/cell.

The space group is P4/mmm (No. 123) and the conventional cell measures 4.851, 4.851 and 5.079 Å, with angles of 90.00, 90.00 and 90.00 degrees. Symmetry generates all atoms from Ni at (0.000, 0.000, 0.000), Ag at (0.500, 0.500, 0.500), S at (0.500, 0.500, 0.000) and Cl at (0.000, 0.500, 0.500).

---

(2)
Crystalline NiAgSCl2 at its relaxed geometry, computed with PBE-GGA.

The calculation puts the spin magnetization at 1.35 μB/f.u. The volume comes out at 100.9 Å³/cell.

The space group is P4/mmm (No. 123) and the conventional cell measures 4.802, 4.802 and 4.378 Å, with angles of 90.00, 90.00 and 90.00 degrees. Symmetry generates all atoms from Ni at (0.000, 0.000, 0.000), Ag at (0.500, 0.500, 0.500), S at (0.000, 0.000, 0.500) and Cl at (0.000, 0.500, 0.000).

---

In terms of stability, (2) leads; the second structure lies 633 meV/atom higher.

---

(1)
Crystalline Np2AgCl8 at its relaxed geometry, computed with PBE-GGA.

The calculation puts the spin magnetization at 7.00 μB/f.u. The volume comes out at 551.4 Å³/cell.

The space group is C2/m (No. 12) and the conventional cell measures 8.478, 11.834 and 5.654 Å, with angles of 90.00, 103.59 and 90.00 degrees. Symmetry generates all atoms from Np at (0.000, 0.188, 0.000), Ag at (0.000, 0.500, 0.500), Cl at (0.000, 0.285, 0.500), Cl at (0.105, 0.000, 0.287) and Cl at (0.208, 0.367, 0.107).

---

(2)
Crystalline Np2AgCl8 at its relaxed geometry, computed with PBE-GGA.

The calculation puts the spin magnetization at 7.00 μB/f.u. The volume comes out at 684.6 Å³/cell.

The space group is C2/m (No. 12) and the conventional cell measures 14.940, 8.425 and 5.440 Å, with angles of 90.00, 90.53 and 90.00 degrees. Symmetry generates all atoms from Np at (0.210, 0.000, 0.084), Ag at (0.000, 0.500, 0.000), Cl at (0.056, 0.000, 0.260), Cl at (0.141, 0.298, 0.924) and Cl at (0.250, 0.000, 0.574).

---

In terms of stability, (1) leads; the second structure lies 37 meV/atom higher.

---

(1)
Crystalline Ag2ClO at its relaxed geometry, computed with PBE-GGA.

The calculation puts the spin magnetization at 0.00 μB/f.u. The volume comes out at 164.5 Å³/cell.

The space group is Cm (No. 8) and the conventional cell measures 6.435, 3.723 and 6.866 Å, with angles of 90.00, 90.17 and 90.00 degrees. Symmetry generates all atoms from Ag at (0.000, 0.000, 0.000), Ag at (0.171, 0.500, 0.385), Cl at (0.004, 0.000, 0.605) and O at (0.167, 0.500, 0.066).

---

(2)
Crystalline Ag2ClO at its relaxed geometry, computed with PBE-GGA.

The calculation puts the spin magnetization at 0.00 μB/f.u. The volume comes out at 334.4 Å³/cell.

The space group is I-42d (No. 122) and the conventional cell measures 5.251, 5.251 and 12.127 Å, with angles of 90.00, 90.00 and 90.00 degrees. Symmetry generates all atoms from Ag at (0.145, 0.250, 0.125), Cl at (0.000, 0.000, 0.500) and O at (0.000, 0.000, 0.000).

---

(3)
Crystalline Ag2ClO at its relaxed geometry, computed with PBE-GGA.

The calculation puts the spin magnetization at 1.00 μB/f.u. The volume comes out at 256.7 Å³/cell.

The space group is Fm-3m (No. 225) and the conventional cell measures 6.355, 6.355 and 6.355 Å, with angles of 90.00, 90.00 and 90.00 degrees. Symmetry generates all atoms from Ag at (0.250, 0.250, 0.250), Cl at (0.000, 0.000, 0.000) and O at (0.000, 0.000, 0.500).

---

In terms of stability, (2) leads; the second structure lies 38 meV/atom higher.

---

(1)
Crystalline AgOsCl at its relaxed geometry, computed with PBE-GGA.

The calculation puts the spin magnetization at 0.00 μB/f.u. The volume comes out at 109.9 Å³/cell.

The space group is I4mm (No. 107) and the conventional cell measures 2.914, 2.914 and 12.939 Å, with angles of 90.00, 90.00 and 90.00 degrees. Symmetry generates all atoms from Ag at (0.000, 0.000, 0.000), Os at (0.000, 0.000, 0.347) and Cl at (0.000, 0.000, 0.729).

---

(2)
Crystalline AgOsCl at its relaxed geometry, computed with PBE-GGA.

The calculation puts the spin magnetization at 1.85 μB/f.u. The volume comes out at 238.5 Å³/cell.

The space group is F-43m (No. 216) and the conventional cell measures 6.202, 6.202 and 6.202 Å, with angles of 90.00, 90.00 and 90.00 degrees. Symmetry generates all atoms from Ag at (0.000, 0.000, 0.000), Os at (0.250, 0.250, 0.750) and Cl at (0.000, 0.000, 0.500).

---

In terms of stability, (1) leads; the second structure lies 503 meV/atom higher.